(1)
Density functional theory data (GGA-PBE) for a relaxed CsLaTe crystal.

abc: 5.2446 5.2446 42.8418
angles: 90.00 90.00 120.00
Space group R-3m (No. 166, hexagonal axes)
Unique sites:
Cs1 0.0000 0.0000 0.1110 x6
La1 0.0000 0.0000 0.3075 x6
Te1 0.0000 0.0000 0.3849 x6

Volume ... 56.70 Å³ per atom
E_tot ... -3.80 eV per atom
D(E_F) ... 14.4 states/eV per cell
ΔE_f (raw) ... -0.831 eV per atom
M_tot ... 5.570 μB per cell

(2)
Density functional theory data (GGA-PBE) for a relaxed Ce3BiN2 crystal.

abc: 9.339 10.971 5.756
angles: 90.00 90.00 90.00
Space group Cmcm (No. 63)
Unique sites:
Ce1 0.000 0.102 0.250 x4
Ce2 0.213 0.393 0.250 x8
Bi1 0.000 0.319 0.750 x4
N1 0.158 0.000 0.000 x8

Volume ... 24.57 Å³ per atom
E_tot ... -7.57 eV per atom
D(E_F) ... 51.7 states/eV per cell
ΔE_f (raw) ... -1.183 eV per atom
M_tot ... 12.067 μB per cell

(3)
Density functional theory data (GGA-PBE) for a relaxed Pr3Al3Ge crystal.

abc: 4.283 4.432 19.267
angles: 90.00 90.00 90.00
Space group Imm2 (No. 44)
Unique sites:
Pr1 0.000 0.000 0.000 x2
Pr2 0.000 0.000 0.370 x2
Pr3 0.000 0.500 0.681 x2
Al1 0.000 0.000 0.544 x2
Al2 0.000 0.000 0.823 x2
Al3 0.000 0.500 0.249 x2
Ge1 0.000 0.500 0.119 x2

Volume ... 26.12 Å³ per atom
E_tot ... -4.84 eV per atom
D(E_F) ... 11.6 states/eV per cell
DFT formation energy ... -525 meV/atom
M_tot ... 0.262 μB per cell

(4)
Density functional theory data (GGA-PBE) for a relaxed Ac2Ga3Pd4Rh crystal.

abc: 4.374 4.374 10.770
angles: 90.00 90.00 90.00
Space group P-4m2 (No. 115)
Unique sites:
Ac1 0.000 0.500 0.241 x2
Ga1 0.000 0.000 0.000 x1
Ga2 0.000 0.500 0.621 x2
Pd1 0.000 0.000 0.500 x1
Pd2 0.000 0.500 0.855 x2
Pd3 0.500 0.500 0.500 x1
Rh1 0.500 0.500 0.000 x1

Volume ... 20.61 Å³ per atom
E_tot ... -5.25 eV per atom
D(E_F) ... 8.6 states/eV per cell
DFT formation energy ... -708 meV/atom
M_tot ... 0.000 μB per cell

(5)
Density functional theory data (GGA-PBE) for a relaxed Zn2FeCo3 crystal.

abc: 4.021 12.071 5.812
angles: 90.00 90.00 90.00
Space group Cmmm (No. 65)
Unique sites:
Zn1 0.000 0.000 0.000 x2
Zn2 0.000 0.000 0.500 x2
Zn3 0.000 0.333 0.000 x4
Fe1 0.000 0.335 0.500 x4
Co1 0.000 0.170 0.262 x8
Co2 0.000 0.500 0.254 x4

Volume ... 11.75 Å³ per atom
E_tot ... -5.40 eV per atom
D(E_F) ... 26.8 states/eV per cell
DFT formation energy ... -12 meV/atom
M_tot ... 22.921 μB per cell

(6)
Density functional theory data (GGA-PBE) for a relaxed LaNd3Mg crystal.

abc: 11.710 5.402 10.643
angles: 90.00 96.39 90.00
Space group C2/m (No. 12)
Unique sites:
La1 0.157 0.000 0.054 x4
Nd1 0.032 0.500 0.837 x4
Nd2 0.086 0.000 0.376 x4
Nd3 0.228 0.000 0.724 x4
Mg1 0.125 0.500 0.552 x4

Volume ... 33.45 Å³ per atom
E_tot ... -4.18 eV per atom
D(E_F) ... 28.4 states/eV per cell
DFT formation energy ... -10 meV/atom
M_tot ... 0.000 μB per cell

(7)
Density functional theory data (GGA-PBE) for a relaxed Ba2Ga3Ag6 crystal.

abc: 8.2468 8.2468 4.5248
angles: 90.00 90.00 120.00
Space group P-62m (No. 189)
Unique sites:
Ba1 0.3333 0.6667 0.0000 x2
Ga1 0.0000 0.6346 0.5000 x3
Ag1 0.0000 0.2953 0.5000 x3
Ag2 0.0000 0.8037 0.0000 x3

Volume ... 24.23 Å³ per atom
E_tot ... -2.91 eV per atom
D(E_F) ... 7.4 states/eV per cell
DFT formation energy ... -184 meV/atom
M_tot ... 0.000 μB per cell

(8)
Density functional theory data (GGA-PBE) for a relaxed Na3Np2O9 crystal.

abc: 10.2554 10.2554 14.2032
angles: 90.00 90.00 120.00
Space group R-3c (No. 167, hexagonal axes)
Unique sites:
Na1 0.0000 0.3095 0.2500 x18
Np1 0.0000 0.0000 0.1424 x12
O1 0.0000 0.1485 0.7500 x18
O2 0.0136 0.1769 0.4130 x36

Volume ... 15.40 Å³ per atom
E_tot ... -7.28 eV per atom
D(E_F) ... 49.2 states/eV per cell
ΔE_f (raw) ... -1.964 eV per atom
M_tot ... 0.008 μB per cell

(9)
Density functional theory data (GGA-PBE) for a relaxed Li2LaHoSe4 crystal.

abc: 6.933 4.178 7.247
angles: 90.00 110.36 90.00
Space group P2/m (No. 10)
Unique sites:
Li1 0.000 0.000 0.000 x1
Li2 0.000 0.500 0.500 x1
La1 0.500 0.000 0.500 x1
Ho1 0.500 0.500 0.000 x1
Se1 0.241 0.500 0.235 x2
Se2 0.246 0.000 0.760 x2

Volume ... 24.60 Å³ per atom
E_tot ... -5.11 eV per atom
D(E_F) ... 0.0 states/eV per cell
ΔE_f (raw) ... -1.702 eV per atom
M_tot ... 0.000 μB per cell

(10)
Density functional theory data (GGA-PBE) for a relaxed Y4InAg crystal.

abc: 8.892 8.892 8.892
angles: 90.00 90.00 90.00
Space group F-43m (No. 216)
Unique sites:
Y1 0.124 0.124 0.376 x16
In1 0.250 0.250 0.750 x4
Ag1 0.000 0.000 0.000 x4

Volume ... 29.30 Å³ per atom
E_tot ... -4.93 eV per atom
D(E_F) ... 25.5 states/eV per cell
DFT formation energy ... 310 meV/atom
M_tot ... 0.002 μB per cell

(11)
Density functional theory data (GGA-PBE) for a relaxed Li3AcSm2S6 crystal.

abc: 7.093 12.424 6.620
angles: 90.00 109.56 90.00
Space group C2/m (No. 12)
Unique sites:
Li1 0.000 0.000 0.000 x2
Li2 0.000 0.313 0.000 x4
Ac1 0.000 0.500 0.500 x2
Sm1 0.000 0.165 0.500 x4
S1 0.230 0.000 0.756 x4
S2 0.247 0.174 0.246 x8

Volume ... 22.90 Å³ per atom
E_tot ... -5.46 eV per atom
D(E_F) ... 0.0 states/eV per cell
ΔE_f (raw) ... -1.790 eV per atom
M_tot ... 0.000 μB per cell

(12)
Density functional theory data (GGA-PBE) for a relaxed Nd2NiRu3 crystal.

abc: 5.3203 5.3203 13.4037
angles: 90.00 90.00 120.00
Space group R-3m (No. 166, hexagonal axes)
Unique sites:
Nd1 0.0000 0.0000 0.1226 x6
Ni1 0.0000 0.0000 0.5000 x3
Ru1 0.0000 0.5000 0.0000 x9

Volume ... 18.25 Å³ per atom
E_tot ... -7.41 eV per atom
D(E_F) ... 10.5 states/eV per cell
DFT formation energy ... -216 meV/atom
M_tot ... 0.001 μB per cell